# MgAg

MgAg after structural relaxation (PBE-GGA, the Open Quantum Materials Database).

a b c (Å): 4.8278 11.9148 5.1541
angles (deg): 90.00 90.00 90.00
Positions (direct):
Mg  0.2500  0.1049  0.1590
Mg  0.2500  0.2500  0.6745
Mg  0.2500  0.3951  0.1590
Mg  0.2500  0.7500  0.6821
Mg  0.7500  0.2500  0.3179
Mg  0.7500  0.6049  0.8410
Mg  0.7500  0.7500  0.3255
Mg  0.7500  0.8951  0.8410
Ag  0.2500  0.5006  0.6638
Ag  0.2500  0.6304  0.1713
Ag  0.2500  0.8696  0.1713
Ag  0.2500  0.9994  0.6638
Ag  0.7500  0.0006  0.3362
Ag  0.7500  0.1304  0.8287
Ag  0.7500  0.3696  0.8287
Ag  0.7500  0.4994  0.3362

Space group: Pmmn
E: -0.087 hartree per atom



# CsPmU

CsPmU after structural relaxation (PBE-GGA, the Open Quantum Materials Database).

a b c (Å): 5.8127 5.8127 5.8127
angles (deg): 60.00 60.00 60.00
Positions (direct):
Cs  0.0000  0.0000  0.0000
Pm  0.2500  0.2500  0.2500
U  0.5000  0.5000  0.5000

Space group: F-43m
Energy above the most stable polymorph in this dataset: 0 meV per atom